1.
Here is crystalline Er2SnGe2Ru5 at its relaxed geometry from the Alexandria database. Energies are from PBE.

Calculated values
Space-group type = P4/mbm, No. 127
Energy relative to the elements = -4.687 eV per formula unit
Density of states at the Fermi level = 0.627 states/eV per atom
Uncorrected energy = -7.3429 eV/atom

Structure (POSCAR):
```
Er2SnGe2Ru5
1.0
-0.3505 -1.5365 2.9664
9.3643 -3.7160 -0.8182
3.6558 8.1843 4.6712
Ru Sn Er Ge
10 2 4 4
direct
0.5000 0.2078 0.0666 Ru
0.5000 0.7922 0.9334 Ru
0.5000 0.0000 0.5000 Ru
0.5000 0.5666 0.7078 Ru
0.5000 0.7078 0.4334 Ru
0.5000 0.5000 0.0000 Ru
0.5000 0.2922 0.5666 Ru
0.5000 0.4334 0.2922 Ru
0.5000 0.9334 0.2078 Ru
0.5000 0.0666 0.7922 Ru
0.0000 0.5000 0.5000 Sn
0.0000 0.0000 0.0000 Sn
0.0000 0.6729 0.1729 Er
0.0000 0.8271 0.6729 Er
0.0000 0.3271 0.8271 Er
0.0000 0.1729 0.3271 Er
0.0000 0.8736 0.3736 Ge
0.0000 0.1264 0.6264 Ge
0.0000 0.3736 0.1264 Ge
0.0000 0.6264 0.8736 Ge
```

2.
Here is crystalline TlVGa2Cu at its relaxed geometry from the Alexandria database. Energies are from PBE.

Calculated values
Space-group type = P4/mmm, No. 123
Energy relative to the elements = 6.660 eV per formula unit
Density of states at the Fermi level = 0.977 states/eV per atom
Uncorrected energy = -2.9949 eV/atom

Structure (POSCAR):
```
TlVGa2Cu
1.0
-2.3519 -2.0095 4.2155
4.5950 -1.8385 1.6872
0.8559 4.5818 2.6616
Ga Cu V Tl
2 1 1 1
direct
0.0000 0.5000 0.0000 Ga
0.5000 0.0000 0.0000 Ga
0.5000 0.5000 0.5000 Cu
0.0000 0.0000 0.5000 V
0.0000 0.0000 0.0000 Tl
```

3.
Here is crystalline CsNaHgTe at its relaxed geometry from the Alexandria database. Energies are from PBE.

Calculated values
Space-group type = F-43m, No. 216
ΔE to the lowest computed polymorph = 85.4 meV/atom
Density of states at the Fermi level = 0.000 states/eV per atom
ΔE_f (raw) = -627 meV per atom
Uncorrected energy = -2.0314 eV/atom

Structure (POSCAR):
```
CsNaHgTe
1.0
-2.1715 1.4660 5.4087
2.6470 -2.0989 4.9706
3.0825 3.7283 3.5660
Cs Te Na Hg
1 1 1 1
direct
0.2500 0.2500 0.2500 Cs
0.0000 0.0000 0.0000 Te
0.7500 0.7500 0.7500 Na
0.5000 0.5000 0.5000 Hg
```

4.
Here is crystalline MgAlSb2 at its relaxed geometry from the Alexandria database. Energies are from PBE.

Calculated values
Space-group type = C2/m, No. 12
ΔE to the lowest computed polymorph = 108.6 meV/atom
Density of states at the Fermi level = 0.379 states/eV per atom
ΔE_f (raw) = 38 meV per atom
Uncorrected energy = -3.3572 eV/atom

Structure (POSCAR):
```
MgAlSb2
1.0
-6.5966 1.2008 3.5548
4.1697 -1.4520 2.3158
-0.4759 2.8831 2.5198
Mg Sb Al
1 2 1
direct
0.5000 0.5000 0.0000 Mg
0.5000 0.0000 0.5000 Sb
0.0000 0.0000 0.0000 Sb
0.0000 0.5000 0.5000 Al
```

5.
Here is crystalline La2TbAl at its relaxed geometry from the Alexandria database. Energies are from PBE.

Calculated values
Space-group type = Fm-3m, No. 225
Energy relative to the elements = -0.266 eV per formula unit
ΔE to the lowest computed polymorph = 120.6 meV/atom
Density of states at the Fermi level = 1.568 states/eV per atom
Uncorrected energy = -4.6235 eV/atom

Structure (POSCAR):
```
La2TbAl
1.0
-2.0321 -2.6771 -4.4094
3.2960 -1.1475 -4.3079
1.5220 -5.2350 -1.0087
Al Tb La
1 1 2
direct
0.5000 0.5000 0.5000 Al
0.0000 0.0000 0.0000 Tb
0.7500 0.7500 0.7500 La
0.2500 0.2500 0.2500 La
```

6.
Here is crystalline LiY6Te8 at its relaxed geometry from the Alexandria database. Energies are from PBE.

Calculated values
Space-group type = Fm-3m, No. 225
ΔE to the lowest computed polymorph = 0.0 meV/atom
Density of states at the Fermi level = 0.289 states/eV per atom
ΔE_f (raw) = -1348 meV per atom
Uncorrected energy = -5.7365 eV/atom

Structure (POSCAR):
```
LiY6Te8
1.0
7.5276 0.0000 4.3461
2.5092 7.0971 4.3461
0.0000 0.0000 8.6921
Y Te Li
6 8 1
direct
0.5000 0.0000 0.0000 Y
0.0000 0.5000 0.0000 Y
0.0000 0.5000 0.5000 Y
0.0000 0.0000 0.5000 Y
0.5000 0.0000 0.5000 Y
0.5000 0.5000 0.0000 Y
0.7500 0.7500 0.7500 Te
0.7510 0.2490 0.2490 Te
0.2490 0.2490 0.7510 Te
0.2500 0.2500 0.2500 Te
0.7510 0.2490 0.7510 Te
0.7510 0.7510 0.2490 Te
0.2490 0.7510 0.7510 Te
0.2490 0.7510 0.2490 Te
0.0000 0.0000 0.0000 Li
```

7.
Here is crystalline AgN2Cl at its relaxed geometry from the Alexandria database. Energies are from PBE.

Calculated values
Space-group type = I-42d, No. 122
ΔE to the lowest computed polymorph = 2316.3 meV/atom
Density of states at the Fermi level = 0.980 states/eV per atom
ΔE_f (raw) = 2125 meV per atom
Uncorrected energy = -3.2117 eV/atom

Structure (POSCAR):
```
AgN2Cl
1.0
-2.5639 1.9416 3.3452
0.6928 -3.7180 2.6889
3.5907 1.4730 5.1157
N Cl Ag
4 2 2
direct
0.3750 0.4096 0.7500 N
0.1596 0.6250 0.2500 N
0.5904 0.1250 0.2500 N
0.8750 0.8404 0.7500 N
0.5000 0.5000 0.0000 Cl
0.2500 0.7500 0.5000 Cl
0.7500 0.2500 0.5000 Ag
0.0000 0.0000 0.0000 Ag
```

8.
Here is crystalline TaAgBiMo2 at its relaxed geometry from the Alexandria database. Energies are from PBE.

Calculated values
Space-group type = P4/mmm, No. 123
Energy relative to the elements = 11.585 eV per formula unit
Density of states at the Fermi level = 0.766 states/eV per atom
Uncorrected energy = -5.7324 eV/atom

Structure (POSCAR):
```
TaAgBiMo2
1.0
5.0740 0.0000 0.0000
0.0000 4.8840 0.0000
0.0000 0.0000 5.0740
Mo Ag Bi Ta
2 1 1 1
direct
0.5000 0.0000 0.0000 Mo
0.0000 0.0000 0.5000 Mo
0.0000 0.5000 0.0000 Ag
0.0000 0.0000 0.0000 Bi
0.5000 0.5000 0.5000 Ta
```

9.
Here is crystalline SrPr2Pd at its relaxed geometry from the Alexandria database. Energies are from PBE.

Calculated values
Space-group type = Cmcm, No. 63
Energy relative to the elements = -1.292 eV per formula unit
ΔE to the lowest computed polymorph = 0.0 meV/atom
Density of states at the Fermi level = 1.299 states/eV per atom
Uncorrected energy = -4.4315 eV/atom

Structure (POSCAR):
```
SrPr2Pd
1.0
-3.2261 -1.4384 -2.1799
3.3495 -5.2646 2.4689
-5.7371 0.2532 8.3234
Sr Pr Pd
2 4 2
direct
0.9265 0.8536 0.2500 Sr
0.0735 0.1464 0.7500 Sr
0.3549 0.7097 0.5632 Pr
0.3549 0.7097 0.9368 Pr
0.6451 0.2903 0.0632 Pr
0.6451 0.2903 0.4368 Pr
0.7759 0.5512 0.7500 Pd
0.2241 0.4488 0.2500 Pd
```

10.
Here is crystalline Dy12Co6Os at its relaxed geometry from the Alexandria database. Energies are from PBE.

Calculated values
Space-group type = Im-3, No. 204
Energy relative to the elements = -2.719 eV per formula unit
Density of states at the Fermi level = 0.942 states/eV per atom
Uncorrected energy = -5.8847 eV/atom

Structure (POSCAR):
```
Dy12Co6Os
1.0
-0.6751 4.9237 -6.5292
2.2270 -7.5066 -2.4537
-7.2239 -0.4180 3.8690
Co Dy Os
6 12 1
direct
0.3841 0.5000 0.8841 Co
0.1159 0.6159 0.5000 Co
0.5000 0.1159 0.6159 Co
0.5000 0.8841 0.3841 Co
0.8841 0.3841 0.5000 Co
0.6159 0.5000 0.1159 Co
0.8104 0.2944 0.1048 Dy
0.5161 0.8104 0.7056 Dy
0.1048 0.8104 0.2944 Dy
0.2944 0.4839 0.1896 Dy
0.7056 0.8952 0.1896 Dy
0.1896 0.2944 0.4839 Dy
0.2944 0.1048 0.8104 Dy
0.4839 0.1896 0.2944 Dy
0.8952 0.1896 0.7056 Dy
0.7056 0.5161 0.8104 Dy
0.1896 0.7056 0.8952 Dy
0.8104 0.7056 0.5161 Dy
0.0000 0.0000 0.0000 Os
```

11.
Here is crystalline LaY2Zr at its relaxed geometry from the Alexandria database. Energies are from PBE.

Calculated values
Space-group type = Cm, No. 8
Energy relative to the elements = 0.494 eV per formula unit
ΔE to the lowest computed polymorph = 47.9 meV/atom
Density of states at the Fermi level = 1.466 states/eV per atom
Uncorrected energy = -6.4773 eV/atom

Structure (POSCAR):
```
LaY2Zr
1.0
-1.8204 5.5712 -1.4256
-4.2451 3.3883 -2.6236
-3.4631 1.1602 4.8953
Zr Y La
1 2 1
direct
0.5020 0.5020 0.4977 Zr
0.9997 0.9997 0.0009 Y
0.2443 0.2443 0.2589 Y
0.7540 0.7540 0.7425 La
```

12.
Here is crystalline Ce2DyHo3Tm6 at its relaxed geometry from the Alexandria database. Energies are from PBE.

Calculated values
Space-group type = C2/m, No. 12
Energy relative to the elements = 0.568 eV per formula unit
Density of states at the Fermi level = 1.766 states/eV per atom
Uncorrected energy = -4.7054 eV/atom

Structure (POSCAR):
```
Ce2DyHo3Tm6
1.0
6.0681 0.0004 0.0121
-3.0322 5.2562 0.0121
-1.0340 -1.7903 11.3994
Dy Tm Ce Ho
1 6 2 3
direct
0.0000 0.0000 0.0000 Dy
0.0838 0.4191 0.2495 Tm
0.9162 0.5809 0.7505 Tm
0.4191 0.0838 0.2495 Tm
0.2515 0.2515 0.7504 Tm
0.5809 0.9162 0.7505 Tm
0.7485 0.7485 0.2496 Tm
0.3334 0.6666 0.0000 Ce
0.6666 0.3334 0.0000 Ce
0.1661 0.8339 0.5000 Ho
0.5000 0.5000 0.5000 Ho
0.8339 0.1661 0.5000 Ho
```

13.
Here is crystalline LiPmGa at its relaxed geometry from the Alexandria database. Energies are from PBE.

Calculated values
Space-group type = Fmmm, No. 69
Energy relative to the elements = -0.480 eV per formula unit
ΔE to the lowest computed polymorph = 227.9 meV/atom
Density of states at the Fermi level = 0.772 states/eV per atom
Uncorrected energy = -3.3904 eV/atom

Structure (POSCAR):
```
LiPmGa
1.0
-2.4006 -5.0546 2.2695
3.1729 -5.0060 0.2402
0.3591 -1.3320 5.4463
Pm Ga Li
2 2 2
direct
0.6747 0.0000 0.6506 Pm
0.3253 0.0000 0.3494 Pm
0.2500 0.5000 0.5000 Ga
0.7500 0.5000 0.5000 Ga
0.1582 0.6836 0.0000 Li
0.8418 0.3164 0.0000 Li
```

14.
Here is crystalline CaAl4Pd2Pt at its relaxed geometry from the Alexandria database. Energies are from PBE.

Calculated values
Space-group type = R-3m, No. 166
Energy relative to the elements = -5.868 eV per formula unit
Density of states at the Fermi level = 0.308 states/eV per atom
Uncorrected energy = -4.9082 eV/atom

Structure (POSCAR):
```
CaAl4Pd2Pt
1.0
4.2768 0.0000 0.0000
2.1384 3.7038 0.0000
2.1384 1.2346 9.1833
Ca Al Pd Pt
1 4 2 1
direct
0.0000 0.0000 0.0000 Ca
0.8654 0.8654 0.4039 Al
0.4058 0.4058 0.7827 Al
0.5942 0.5942 0.2173 Al
0.1346 0.1346 0.5961 Al
0.2383 0.2383 0.2852 Pd
0.7617 0.7617 0.7148 Pd
0.5000 0.5000 0.5000 Pt
```